*one*
NaBeH3: relaxed, PBE.

Cell: 3.3312 3.3312 3.3312 Å, 90.00 90.00 90.00°
Positions (direct):
Na 0.0000 0.0000 0.0000
Be 0.5000 0.5000 0.5000
H 0.0000 0.5000 0.5000
H 0.5000 0.0000 0.5000
H 0.5000 0.5000 0.0000

## Properties
* space-group type: Pm-3m (221)


*two*
NaBeH3: relaxed, PBE.

Cell: 5.8846 4.0690 9.7479 Å, 90.00 114.52 90.00°
Positions (direct):
Na 0.2330 0.2357 0.2107
Na 0.2330 0.2643 0.7107
Na 0.7670 0.7357 0.2893
Na 0.7670 0.7643 0.7893
Be 0.3504 0.6457 0.9905
Be 0.3504 0.8543 0.4905
Be 0.6496 0.1457 0.5095
Be 0.6496 0.3543 0.0095
H 0.1679 0.7325 0.8480
H 0.1679 0.7675 0.3480
H 0.3190 0.7274 0.1226
H 0.3190 0.7726 0.6226
H 0.3932 0.2164 0.4928
H 0.3932 0.2836 0.9928
H 0.6068 0.7164 0.0072
H 0.6068 0.7836 0.5072
H 0.6810 0.2274 0.3774
H 0.6810 0.2726 0.8774
H 0.8321 0.2325 0.6520
H 0.8321 0.2675 0.1520

## Properties
* space-group type: P2_1/c (14)


*three*
NaBeH3: relaxed, PBE.

Cell: 6.3261 6.3261 5.6100 Å, 90.00 90.00 154.58°
Positions (direct):
Na 0.1666 0.8334 0.7500
Na 0.8334 0.1666 0.2500
Be 0.4089 0.5911 0.7500
Be 0.5911 0.4089 0.2500
H 0.0292 0.9708 0.2500
H 0.3437 0.6563 0.5441
H 0.3437 0.6563 0.9559
H 0.6563 0.3437 0.0441
H 0.6563 0.3437 0.4559
H 0.9708 0.0292 0.7500

## Properties
* space-group type: Cmcm (63)


Out of the structures above, which one is the least stable? Solution: *one*.